# V2HgPdO6 | Alexandria via LeMat-Bulk | PBE+U | optimized geometry
data_V2HgPdO6
_cell_length_a 6.1301
_cell_length_b 7.3942
_cell_length_c 7.3942
_cell_angle_alpha 94.94
_cell_angle_beta 71.03
_cell_angle_gamma 71.03
_symmetry_space_group_name_H-M 'P 1'
_symmetry_Int_Tables_number 1
loop_
_symmetry_equiv_pos_as_xyz
'x,y,z'
loop_
_atom_site_label
_atom_site_type_symbol
_atom_site_fract_x
_atom_site_fract_y
_atom_site_fract_z
O1 O 0.4669 0.4377 0.3430
O2 O 0.1262 0.6225 0.1601
O3 O 0.8535 0.0904 0.2221
O4 O 0.8738 0.3775 0.8399
O5 O 0.9669 0.3430 0.4377
O6 O 0.0331 0.6570 0.5623
O7 O 0.6465 0.7779 0.9096
O8 O 0.3738 0.8399 0.3775
O9 O 0.1465 0.9096 0.7779
O10 O 0.5331 0.5623 0.6570
O11 O 0.6262 0.1601 0.6225
O12 O 0.3535 0.2221 0.0904
V1 V 0.3002 0.7216 0.5659
V2 V 0.8002 0.5659 0.7216
V3 V 0.6998 0.2784 0.4341
V4 V 0.1998 0.4341 0.2784
Pd1 Pd 0.7500 0.7289 0.2711
Pd2 Pd 0.2500 0.2711 0.7289
Hg1 Hg 0.7500 0.0890 0.9110
Hg2 Hg 0.2500 0.9110 0.0890
# DFT total energy: -123.714 eV/cell
# volume: 292.76 Å³ per cell
# size of the total moment: 0.00 μB/atom
# space-group type: No. 15